No. 1
Below is Tb2Pm2Sm4Mg after structural relaxation, with properties calculated at the PBE level.

Summary:
- SG = P-1 (2)
- total magnetization (μB/f.u.) = 0.00
- formation energy (eV/f.u.) = 1.21
- DFT total energy (eV per cell) = -38.03
- Fermi-level density of states (states/eV/f.u.) = 11.4

extended XYZ file:
```
9
Lattice="6.6729 0.0000 0.0000 3.1471 6.2071 0.0000 2.2348 -0.7102 7.3253" Properties=species:S:1:pos:R:3 pbc="T T T"
Tb 1.3095 0.8070 0.7470
Tb 10.7454 4.6899 6.5783
Pm 7.2686 4.7018 4.9956
Pm 4.7863 0.7951 2.3297
Sm 2.6135 3.6695 2.0836
Sm 6.0931 1.5190 6.1947
Sm 5.9617 3.9779 1.1306
Sm 9.4413 1.8273 5.2417
Mg 1.1174 -0.3551 3.6626
```

No. 2
Below is Tb2PmSm4Mg after structural relaxation, with properties calculated at the PBE level.

Summary:
- SG = Pmmm (47)
- total magnetization (μB/f.u.) = 0.00
- formation energy (eV/f.u.) = 0.09
- DFT total energy (eV per cell) = -34.39
- Fermi-level density of states (states/eV/f.u.) = 10.5

extended XYZ file:
```
8
Lattice="5.0285 0.0000 0.0000 0.0000 5.0391 0.0000 0.0000 0.0000 10.1170" Properties=species:S:1:pos:R:3 pbc="T T T"
Tb 0.0000 0.0000 0.0000
Tb 2.5143 2.5196 5.0585
Pm 0.0000 0.0000 5.0585
Sm 0.0000 2.5196 2.4780
Sm 0.0000 2.5196 7.6390
Sm 2.5143 0.0000 2.4785
Sm 2.5143 0.0000 7.6385
Mg 2.5143 2.5196 0.0000
```

No. 3
Below is Tb2Pm2SmMg2 after structural relaxation, with properties calculated at the PBE level.

Summary:
- SG = R-3m (166)
- total magnetization (μB/f.u.) = 0.00
- formation energy (eV/f.u.) = -0.17
- DFT total energy (eV per cell) = -26.84
- Fermi-level density of states (states/eV/f.u.) = 7.4

extended XYZ file:
```
7
Lattice="2.7621 1.5947 8.1159 -2.7621 1.5947 8.1159 0.0000 -3.1894 8.1159" Properties=species:S:1:pos:R:3 pbc="T T T"
Tb 0.0000 0.0000 1.7765
Tb 0.0000 0.0000 22.5712
Pm 0.0000 0.0000 8.3625
Pm 0.0000 0.0000 15.9853
Sm 0.0000 0.0000 12.1739
Mg 0.0000 0.0000 5.1047
Mg 0.0000 0.0000 19.2431
```

No. 4
Below is TbPmSm2Mg after structural relaxation, with properties calculated at the PBE level.

Summary:
- SG = Pmma (51)
- total magnetization (μB/f.u.) = 0.00
- formation energy (eV/f.u.) = 0.84
- DFT total energy (eV per cell) = -39.15
- Fermi-level density of states (states/eV/f.u.) = 7.7

extended XYZ file:
```
10
Lattice="5.9774 0.0000 0.0000 0.0000 7.4437 0.0000 0.0000 0.0000 7.2759" Properties=species:S:1:pos:R:3 pbc="T T T"
Tb 1.4944 0.0000 0.9299
Tb 4.4831 0.0000 6.3460
Pm 1.4944 3.7219 2.4761
Pm 4.4831 3.7219 4.7998
Sm 1.4944 2.1064 5.9017
Sm 1.4944 5.3373 5.9017
Sm 4.4831 2.1064 1.3742
Sm 4.4831 5.3373 1.3742
Mg 0.0000 0.0000 3.6380
Mg 2.9887 0.0000 3.6380
```

No. 5
Below is Tb5Pm2SmMg after structural relaxation, with properties calculated at the PBE level.

Summary:
- SG = Cmc2_1 (36)
- total magnetization (μB/f.u.) = 0.00
- formation energy (eV/f.u.) = 0.86
- DFT total energy (eV per cell) = -76.21
- Fermi-level density of states (states/eV/f.u.) = 12.8

extended XYZ file:
```
18
Lattice="2.7403 -10.0730 0.0000 2.7403 10.0730 0.0000 0.0000 0.0000 10.6013" Properties=species:S:1:pos:R:3 pbc="T T T"
Tb 2.7403 10.0627 5.3006
Tb 2.7403 7.7378 7.9596
Tb 2.7403 5.8469 4.7726
Tb 2.7403 5.8313 0.5398
Tb 2.7403 0.2770 7.9594
Tb 2.7403 -0.2770 2.6588
Tb 2.7403 -5.8313 5.8404
Tb 2.7403 -5.8469 10.0733
Tb 2.7403 -7.7378 2.6590
Tb 2.7403 -10.0627 0.0000
Pm 2.7403 2.3181 0.4347
Pm 2.7403 2.3188 4.8850
Pm 2.7403 -2.3181 5.7353
Pm 2.7403 -2.3188 10.1857
Sm 2.7403 4.1342 7.9589
Sm 2.7403 -4.1342 2.6582
Mg 2.7403 8.1723 2.6396
Mg 2.7403 -8.1723 7.9402
```

No. 6
Below is PmSmMgTc after structural relaxation, with properties calculated at the PBE level.

Summary:
- SG = F-43m (216)
- total magnetization (μB/f.u.) = 0.00
- formation energy (eV/f.u.) = 0.28
- DFT total energy (eV per cell) = -84.60
- Fermi-level density of states (states/eV/f.u.) = 2.4

extended XYZ file:
```
16
Lattice="7.2731 0.0000 0.0000 0.0000 7.2731 0.0000 0.0000 0.0000 7.2731" Properties=species:S:1:pos:R:3 pbc="T T T"
Pm 0.0000 0.0000 0.0000
Pm 0.0000 3.6366 3.6366
Pm 3.6366 0.0000 3.6366
Pm 3.6366 3.6366 0.0000
Sm 0.0000 0.0000 3.6366
Sm 0.0000 3.6366 0.0000
Sm 3.6366 0.0000 0.0000
Sm 3.6366 3.6366 3.6366
Mg 1.8183 1.8183 1.8183
Mg 1.8183 5.4549 5.4549
Mg 5.4549 1.8183 5.4549
Mg 5.4549 5.4549 1.8183
Tc 1.8183 1.8183 5.4549
Tc 1.8183 5.4549 1.8183
Tc 5.4549 1.8183 1.8183
Tc 5.4549 5.4549 5.4549
```

No. 7
Below is PmSmThMg after structural relaxation, with properties calculated at the PBE level.

Summary:
- SG = P4mm (99)
- total magnetization (μB/f.u.) = 0.00
- relative energy among the computed polymorphs (eV per atom) = 0.000
- formation energy (eV/f.u.) = -0.20
- DFT total energy (eV per cell) = -18.68
- Fermi-level density of states (states/eV/f.u.) = 3.6

extended XYZ file:
```
4
Lattice="3.6322 0.0000 0.0000 0.0000 3.6322 0.0000 0.0000 0.0000 9.3547" Properties=species:S:1:pos:R:3 pbc="T T T"
Pm 0.0000 0.0000 0.0000
Sm 0.0000 0.0000 4.5105
Th 1.8161 1.8161 6.9256
Mg 1.8161 1.8161 2.2680
```

No. 8
Below is Pm2Sm4ThMg after structural relaxation, with properties calculated at the PBE level.

Summary:
- SG = P2/m (10)
- total magnetization (μB/f.u.) = 0.00
- formation energy (eV/f.u.) = 0.85
- DFT total energy (eV per cell) = -36.55
- Fermi-level density of states (states/eV/f.u.) = 13.7

extended XYZ file:
```
8
Lattice="5.9142 0.0000 0.0000 0.0000 5.9149 0.0000 -0.0080 0.0000 7.4348" Properties=species:S:1:pos:R:3 pbc="T T T"
Pm 0.0000 0.0000 0.0000
Pm 2.9571 2.9574 0.0000
Sm 5.9117 2.9574 1.9745
Sm -0.0055 2.9574 5.4603
Sm 2.9497 0.0000 1.9765
Sm 2.9565 0.0000 5.4583
Th 2.9531 2.9574 3.7174
Mg -0.0040 0.0000 3.7174
```

No. 9
Below is PmSmThMg after structural relaxation, with properties calculated at the PBE level.

Summary:
- SG = F-43m (216)
- total magnetization (μB/f.u.) = 0.01
- relative energy among the computed polymorphs (eV per atom) = 0.196
- formation energy (eV/f.u.) = 0.59
- DFT total energy (eV per cell) = -71.59
- Fermi-level density of states (states/eV/f.u.) = 6.5

extended XYZ file:
```
16
Lattice="7.9213 0.0000 0.0000 0.0000 7.9213 0.0000 0.0000 0.0000 7.9213" Properties=species:S:1:pos:R:3 pbc="T T T"
Pm 0.0000 0.0000 0.0000
Pm 0.0000 3.9606 3.9606
Pm 3.9606 0.0000 3.9606
Pm 3.9606 3.9606 0.0000
Sm 0.0000 0.0000 3.9606
Sm 0.0000 3.9606 0.0000
Sm 3.9606 0.0000 0.0000
Sm 3.9606 3.9606 3.9606
Th 1.9803 1.9803 5.9410
Th 1.9803 5.9410 1.9803
Th 5.9410 1.9803 1.9803
Th 5.9410 5.9410 5.9410
Mg 1.9803 1.9803 1.9803
Mg 1.9803 5.9410 5.9410
Mg 5.9410 1.9803 5.9410
Mg 5.9410 5.9410 1.9803
```

No. 10
Below is PmSm2MgTl4 after structural relaxation, with properties calculated at the PBE level.

Summary:
- SG = R-3m (166)
- total magnetization (μB/f.u.) = 0.00
- formation energy (eV/f.u.) = -2.55
- DFT total energy (eV per cell) = -27.80
- Fermi-level density of states (states/eV/f.u.) = 4.7

extended XYZ file:
```
8
Lattice="2.6650 1.5386 9.0941 -2.6650 1.5386 9.0941 0.0000 -3.0772 9.0941" Properties=species:S:1:pos:R:3 pbc="T T T"
Pm 0.0000 0.0000 0.0000
Sm 0.0000 0.0000 6.6047
Sm 0.0000 0.0000 20.6774
Mg 0.0000 0.0000 13.6411
Tl 0.0000 0.0000 3.3764
Tl 0.0000 0.0000 10.2480
Tl 0.0000 0.0000 17.0342
Tl 0.0000 0.0000 23.9057
```

No. 11
Below is Pm6Sm3Tm2Mg after structural relaxation, with properties calculated at the PBE level.

Summary:
- SG = C2/m (12)
- total magnetization (μB/f.u.) = 0.00
- formation energy (eV/f.u.) = 0.35
- DFT total energy (eV per cell) = -52.85
- Fermi-level density of states (states/eV/f.u.) = 14.1

extended XYZ file:
```
12
Lattice="3.1216 -5.4106 0.0000 3.1216 5.4106 0.0000 -2.0922 0.0000 11.6004" Properties=species:S:1:pos:R:3 pbc="T T T"
Pm 1.0275 1.7990 2.8346
Pm -0.0037 0.0000 8.7508
Pm 1.0275 -1.7990 2.8346
Pm 3.1235 1.7990 8.7658
Pm 4.1548 0.0000 2.8497
Pm 3.1235 -1.7990 8.7658
Sm 2.0755 3.6075 5.8002
Sm 2.0755 0.0000 5.8002
Sm 2.0755 -3.6075 5.8002
Tm 3.1216 1.8007 0.0000
Tm 3.1216 -1.8007 0.0000
Mg 0.0000 0.0000 0.0000
```

No. 12
Below is PmSmTmMg after structural relaxation, with properties calculated at the PBE level.

Summary:
- SG = P4mm (99)
- total magnetization (μB/f.u.) = 0.00
- relative energy among the computed polymorphs (eV per atom) = 0.000
- formation energy (eV/f.u.) = -0.11
- DFT total energy (eV per cell) = -15.64
- Fermi-level density of states (states/eV/f.u.) = 4.3

extended XYZ file:
```
4
Lattice="3.6390 0.0000 0.0000 0.0000 3.6390 0.0000 0.0000 0.0000 9.1838" Properties=species:S:1:pos:R:3 pbc="T T T"
Pm 0.0000 0.0000 0.0000
Sm 1.8195 1.8195 6.6474
Tm 1.8195 1.8195 2.4408
Mg 0.0000 0.0000 4.4772
```

No. 13
Below is Pm2SmTm2Mg5 after structural relaxation, with properties calculated at the PBE level.

Summary:
- SG = P4/mbm (127)
- total magnetization (μB/f.u.) = 0.00
- formation energy (eV/f.u.) = 0.37
- DFT total energy (eV per cell) = -61.53
- Fermi-level density of states (states/eV/f.u.) = 7.1

extended XYZ file:
```
20
Lattice="10.6187 0.0000 0.0000 0.0000 10.6187 0.0000 0.0000 0.0000 5.0952" Properties=species:S:1:pos:R:3 pbc="T T T"
Pm 1.8791 3.4303 0.0000
Pm 3.4303 8.7396 0.0000
Pm 7.1885 1.8791 0.0000
Pm 8.7396 7.1885 0.0000
Sm 0.0000 0.0000 0.0000
Sm 5.3094 5.3094 0.0000
Tm 1.2636 6.5730 0.0000
Tm 4.0458 1.2636 0.0000
Tm 6.5730 9.3551 0.0000
Tm 9.3551 4.0458 0.0000
Mg 0.0000 5.3094 2.5476
Mg 0.7863 8.5072 2.5476
Mg 2.1116 0.7863 2.5476
Mg 3.1978 6.0957 2.5476
Mg 4.5230 3.1978 2.5476
Mg 5.3094 0.0000 2.5476
Mg 6.0957 7.4210 2.5476
Mg 7.4210 4.5230 2.5476
Mg 8.5072 9.8324 2.5476
Mg 9.8324 2.1116 2.5476
```

No. 14
Below is PmSmTm2Mg after structural relaxation, with properties calculated at the PBE level.

Summary:
- SG = C2/m (12)
- total magnetization (μB/f.u.) = 0.00
- formation energy (eV/f.u.) = 0.23
- DFT total energy (eV per cell) = -39.56
- Fermi-level density of states (states/eV/f.u.) = 7.7

extended XYZ file:
```
10
Lattice="6.4143 -1.7421 0.0000 6.4143 1.7421 0.0000 -5.0117 0.0000 13.6264" Properties=species:S:1:pos:R:3 pbc="T T T"
Pm 2.1690 0.0000 1.1262
Pm 5.6479 0.0000 12.5002
Sm 0.9612 0.0000 4.1198
Sm 6.8557 0.0000 9.5066
Tm 2.2357 0.0000 7.1161
Tm 5.5495 0.0000 1.7307
Tm 2.2674 0.0000 11.8957
Tm 5.5812 0.0000 6.5103
Mg -2.4560 0.0000 9.4493
Mg 10.2729 0.0000 4.1771
```

No. 15
Below is Pm6SmTm2Mg after structural relaxation, with properties calculated at the PBE level.

Summary:
- SG = C2/c (15)
- total magnetization (μB/f.u.) = 0.00
- formation energy (eV/f.u.) = 1.10
- DFT total energy (eV per cell) = -85.32
- Fermi-level density of states (states/eV/f.u.) = 13.2

extended XYZ file:
```
20
Lattice="5.1415 -6.8627 0.0000 5.1415 6.8627 0.0000 -1.7904 0.0000 9.2991" Properties=species:S:1:pos:R:3 pbc="T T T"
Pm 1.3792 2.9547 6.2353
Pm 2.9597 5.2344 8.4070
Pm 4.6377 5.2344 5.5417
Pm 4.0793 2.3041 0.6906
Pm 5.3085 2.3041 3.9590
Pm 2.2744 -2.9547 1.5858
Pm 6.2182 2.9547 7.7133
Pm 3.1841 -2.3041 5.3402
Pm 4.4133 -2.3041 8.6085
Pm 3.8549 -5.2344 3.7574
Pm 5.5329 -5.2344 0.8921
Pm 7.1134 -2.9547 3.0638
Sm 3.7987 0.8803 6.9743
Sm 4.6939 -0.8803 2.3248
Tm 2.0056 0.4871 3.7760
Tm 1.1104 -0.4871 8.4256
Tm 7.3822 0.4871 0.8735
Tm 6.4870 -0.4871 5.5231
Mg 4.6939 5.5252 2.3248
Mg 3.7987 -5.5252 6.9743
```

No. 16
Below is Pm2Sm2Tm2Mg after structural relaxation, with properties calculated at the PBE level.

Summary:
- SG = C2/m (12)
- total magnetization (μB/f.u.) = 0.00
- formation energy (eV/f.u.) = 0.57
- DFT total energy (eV per cell) = -57.82
- Fermi-level density of states (states/eV/f.u.) = 9.3

extended XYZ file:
```
14
Lattice="12.1999 0.0000 0.0000 0.0000 3.6924 0.0000 -5.7436 0.0000 10.0676" Properties=species:S:1:pos:R:3 pbc="T T T"
Pm -1.0883 0.0000 2.4220
Pm 1.4446 1.8462 7.6456
Pm 5.0116 1.8462 2.4220
Pm 7.5446 0.0000 7.6456
Sm -1.1751 0.0000 5.9334
Sm 1.5314 1.8462 4.1341
Sm 4.9249 1.8462 5.9334
Sm 7.6314 0.0000 4.1341
Tm 2.2596 0.0000 1.2196
Tm -1.9033 1.8462 8.8480
Tm 8.3596 1.8462 1.2196
Tm 4.1966 0.0000 8.8480
Mg 0.0000 1.8462 0.0000
Mg 6.1000 0.0000 0.0000
```

No. 17
Below is PmSmTmMg after structural relaxation, with properties calculated at the PBE level.

Summary:
- SG = F-43m (216)
- total magnetization (μB/f.u.) = 0.00
- relative energy among the computed polymorphs (eV per atom) = 0.042
- formation energy (eV/f.u.) = 0.06
- DFT total energy (eV per cell) = -61.90
- Fermi-level density of states (states/eV/f.u.) = 4.3

extended XYZ file:
```
16
Lattice="7.8494 0.0000 0.0000 0.0000 7.8494 0.0000 0.0000 0.0000 7.8494" Properties=species:S:1:pos:R:3 pbc="T T T"
Pm 0.0000 0.0000 0.0000
Pm 0.0000 3.9247 3.9247
Pm 3.9247 0.0000 3.9247
Pm 3.9247 3.9247 0.0000
Sm 0.0000 0.0000 3.9247
Sm 0.0000 3.9247 0.0000
Sm 3.9247 0.0000 0.0000
Sm 3.9247 3.9247 3.9247
Tm 1.9623 1.9623 1.9623
Tm 1.9623 5.8870 5.8870
Tm 5.8870 1.9623 5.8870
Tm 5.8870 5.8870 1.9623
Mg 1.9623 1.9623 5.8870
Mg 1.9623 5.8870 1.9623
Mg 5.8870 1.9623 1.9623
Mg 5.8870 5.8870 5.8870
```

No. 18
Below is Pm2Sm4Tm2Mg after structural relaxation, with properties calculated at the PBE level.

Summary:
- SG = P-1 (2)
- total magnetization (μB/f.u.) = 0.00
- formation energy (eV/f.u.) = 1.16
- DFT total energy (eV per cell) = -37.75
- Fermi-level density of states (states/eV/f.u.) = 10.8

extended XYZ file:
```
9
Lattice="6.6356 0.0000 0.0000 3.0720 6.1222 0.0000 2.3927 -0.5961 7.3774" Properties=species:S:1:pos:R:3 pbc="T T T"
Pm 1.4603 0.7848 2.3165
Pm 10.6401 4.7413 5.0609
Sm 2.6113 3.9250 1.1341
Sm 6.1887 1.8856 5.2991
Sm 5.9117 3.6405 2.0783
Sm 9.4890 1.6011 6.2433
Tm 7.5020 4.7460 6.6362
Tm 4.5984 0.7801 0.7413
Mg 4.5141 -0.2980 3.6887
```

No. 19
Below is Pm2SmY2Mg2 after structural relaxation, with properties calculated at the PBE level.

Summary:
- SG = R-3m (166)
- total magnetization (μB/f.u.) = 0.00
- formation energy (eV/f.u.) = -0.24
- DFT total energy (eV per cell) = -30.57
- Fermi-level density of states (states/eV/f.u.) = 7.6

extended XYZ file:
```
7
Lattice="2.7594 1.5932 8.1294 -2.7594 1.5932 8.1294 0.0000 -3.1863 8.1294" Properties=species:S:1:pos:R:3 pbc="T T T"
Pm 0.0000 0.0000 3.8191
Pm 0.0000 0.0000 20.5692
Sm 0.0000 0.0000 0.0000
Y 0.0000 0.0000 10.4015
Y 0.0000 0.0000 13.9868
Mg 0.0000 0.0000 7.0778
Mg 0.0000 0.0000 17.3104
```

No. 20
Below is Pm2Sm2YMg after structural relaxation, with properties calculated at the PBE level.

Summary:
- SG = Pnnm (58)
- total magnetization (μB/f.u.) = 0.00
- formation energy (eV/f.u.) = 0.57
- DFT total energy (eV per cell) = -52.85
- Fermi-level density of states (states/eV/f.u.) = 9.5

extended XYZ file:
```
12
Lattice="6.9002 0.0000 0.0000 0.0000 10.2322 0.0000 0.0000 0.0000 5.4326" Properties=species:S:1:pos:R:3 pbc="T T T"
Pm 1.6690 1.6533 0.0000
Pm 1.7811 6.7694 2.7163
Pm 5.1191 3.4628 2.7163
Pm 5.2312 8.5789 0.0000
Sm 1.6683 8.5913 0.0000
Sm 1.7818 3.4752 2.7163
Sm 5.1184 6.7571 2.7163
Sm 5.2319 1.6409 0.0000
Y 0.0000 5.1161 0.0000
Y 3.4501 0.0000 2.7163
Mg 0.0000 0.0000 2.7163
Mg 3.4501 5.1161 0.0000
```